SiAs2Se at its PBEsol-relaxed geometry, computed with SCAN.

abc: 3.1516 3.1516 7.4940
angles: 90.00 90.00 90.00
Last column: nearest neighbours and their distance in Å.
Fractional coordinates of all 4 atoms:
Si 0.0000 0.0000 0.0000  8 As 2.63
As 0.5000 0.5000 0.1874  4 Si 2.63, 1 As 2.81
As 0.5000 0.5000 0.8126  4 Si 2.63, 1 As 2.81
Se 0.0000 0.0000 0.5000  4 Se 3.15, 8 As 3.23

Results
* raw formation energy: 0.488 eV/atom

SiAsSe2 at its PBEsol-relaxed geometry, computed with SCAN.

abc: 3.6419 3.6872 6.3478
angles: 90.00 90.00 90.00
Last column: nearest neighbours and their distance in Å.
Fractional coordinates of all 4 atoms:
Si 0.0000 0.0000 0.0000  4 Se 2.59
As 0.5000 0.0000 0.5000  4 Se 2.59
Se 0.0000 0.5000 0.5000  4 As 2.59
Se 0.5000 0.5000 0.0000  4 Si 2.59

Results
* raw formation energy: 0.444 eV/atom

TiSiAsSe2 at its PBEsol-relaxed geometry, computed with SCAN.

abc: 4.7249 4.7249 4.6529
angles: 90.00 90.00 90.00
Last column: nearest neighbours and their distance in Å.
Fractional coordinates of all 5 atoms:
Ti 0.0000 0.0000 0.0000  8 Se 3.32, 4 As 3.34
Si 0.5000 0.5000 0.5000  2 As 2.33, 4 Se 2.36
As 0.5000 0.5000 0.0000  2 Si 2.33
Se 0.0000 0.5000 0.5000  2 Si 2.36
Se 0.5000 0.0000 0.5000  2 Si 2.36

Results
* raw formation energy: 0.329 eV/atom

TiSiAs2Se at its PBEsol-relaxed geometry, computed with SCAN.

abc: 4.6536 4.6536 4.7379
angles: 90.00 90.00 90.00
Last column: nearest neighbours and their distance in Å.
Fractional coordinates of all 5 atoms:
Ti 0.0000 0.0000 0.0000  4 Se 3.29, 8 As 3.32
Si 0.5000 0.5000 0.5000  4 As 2.33, 2 Se 2.37
As 0.0000 0.5000 0.5000  2 Si 2.33
As 0.5000 0.0000 0.5000  2 Si 2.33
Se 0.5000 0.5000 0.0000  2 Si 2.37

Results
* raw formation energy: 0.490 eV/atom

ZnSiAs2Se at its PBEsol-relaxed geometry, computed with SCAN.

abc: 4.7273 4.7273 4.7629
angles: 90.00 90.00 90.00
Last column: nearest neighbours and their distance in Å.
Fractional coordinates of all 5 atoms:
Zn 0.0000 0.0000 0.0000  4 Se 3.34, 8 As 3.36
Si 0.5000 0.5000 0.5000  4 As 2.36, 2 Se 2.38
As 0.0000 0.5000 0.5000  2 Si 2.36
As 0.5000 0.0000 0.5000  2 Si 2.36
Se 0.5000 0.5000 0.0000  2 Si 2.38

Results
* raw formation energy: 0.709 eV/atom

Sm2AsSe at its PBEsol-relaxed geometry, computed with SCAN.

abc: 7.1669 7.1669 7.1669
angles: 131.91 131.91 70.37
Last column: nearest neighbours and their distance in Å.
Fractional coordinates of all 8 atoms:
Sm 0.1205 0.3705 0.7500  3 As 2.88-2.92, 3 Se 2.92-2.98
Sm 0.3705 0.1205 0.2500  3 As 2.88-2.92, 3 Se 2.92-2.98
Sm 0.6295 0.8795 0.7500  3 As 2.88-2.92, 3 Se 2.92-2.98
Sm 0.8795 0.6295 0.2500  3 As 2.88-2.92, 3 Se 2.92-2.98
As 0.1250 0.8750 0.2500  6 Sm 2.88-2.92
As 0.8750 0.1250 0.7500  6 Sm 2.88-2.92
Se 0.3750 0.6250 0.7500  6 Sm 2.92-2.98
Se 0.6250 0.3750 0.2500  6 Sm 2.92-2.98

Results
* raw formation energy: -1.940 eV/atom

SmAsSe at its PBEsol-relaxed geometry, computed with SCAN.

abc: 3.9181 3.9181 8.7766
angles: 90.00 90.00 90.00
Last column: nearest neighbours and their distance in Å.
Fractional coordinates of all 6 atoms:
Sm 0.2500 0.2500 0.2236  5 Se 2.90-3.05, 4 As 3.12
Sm 0.7500 0.7500 0.7764  5 Se 2.90-3.05, 4 As 3.12
As 0.2500 0.7500 0.5000  4 As 2.77
As 0.7500 0.2500 0.5000  4 As 2.77
Se 0.2500 0.2500 0.8755  5 Sm 2.90-3.05
Se 0.7500 0.7500 0.1245  5 Sm 2.90-3.05

Results
* raw formation energy: -1.643 eV/atom

SmAsSe at its PBEsol-relaxed geometry, computed with SCAN.

abc: 17.5797 3.9096 3.9593
angles: 90.00 90.00 90.00
Last column: nearest neighbours and their distance in Å.
Fractional coordinates of all 12 atoms:
Sm 0.1393 0.2500 0.2305  5 Se 2.91-3.04, 4 As 3.08-3.17
Sm 0.3607 0.7500 0.7305  5 Se 2.91-3.04, 4 As 3.08-3.17
Sm 0.6393 0.2500 0.2695  5 Se 2.91-3.04, 4 As 3.08-3.17
Sm 0.8607 0.7500 0.7695  5 Se 2.91-3.04, 4 As 3.08-3.17
As 0.0019 0.2500 0.7113  2 As 2.57
As 0.4981 0.7500 0.2113  2 As 2.57
As 0.5019 0.2500 0.7887  2 As 2.57
As 0.9981 0.7500 0.2887  2 As 2.57
Se 0.1879 0.7500 0.7324  5 Sm 2.91-3.04
Se 0.3121 0.2500 0.2324  5 Sm 2.91-3.04
Se 0.6879 0.7500 0.7676  5 Sm 2.91-3.04
Se 0.8121 0.2500 0.2676  5 Sm 2.91-3.04

Results
* raw formation energy: -1.656 eV/atom

Sm2AsSe at its PBEsol-relaxed geometry, computed with SCAN.

abc: 4.1328 4.1328 5.8298
angles: 90.00 90.00 90.00
Last column: nearest neighbours and their distance in Å.
Fractional coordinates of all 4 atoms:
Sm 0.0000 0.0000 0.0000  2 As 2.91, 4 Se 2.92
Sm 0.5000 0.5000 0.5000  2 Se 2.91, 4 As 2.92
As 0.0000 0.0000 0.5000  6 Sm 2.91-2.92
Se 0.5000 0.5000 0.0000  6 Sm 2.91-2.92

Results
* raw formation energy: -1.930 eV/atom

Sm2AsSe at its PBEsol-relaxed geometry, computed with SCAN.

abc: 7.1792 7.1792 7.1792
angles: 33.43 33.43 33.43
Last column: nearest neighbours and their distance in Å.
Fractional coordinates of all 4 atoms:
Sm 0.2468 0.2468 0.2468  3 As 2.89, 3 Se 2.96
Sm 0.7532 0.7532 0.7532  3 As 2.89, 3 Se 2.96
As 0.5000 0.5000 0.5000  6 Sm 2.89
Se 0.0000 0.0000 0.0000  6 Sm 2.96

Results
* raw formation energy: -1.942 eV/atom

TcSnAs2Se at its PBEsol-relaxed geometry, computed with SCAN.

abc: 4.6367 4.6367 5.3658
angles: 90.00 90.00 90.00
Last column: nearest neighbours and their distance in Å.
Fractional coordinates of all 5 atoms:
Tc 0.0000 0.0000 0.0000  4 As 2.32
Sn 0.5000 0.5000 0.5000  4 Se 3.28, 8 As 3.55
As 0.0000 0.5000 0.0000  2 Tc 2.32
As 0.5000 0.0000 0.0000  2 Tc 2.32
Se 0.0000 0.0000 0.5000  2 Tc 2.68

Results
* raw formation energy: 0.367 eV/atom

TlSnAs2Se at its PBEsol-relaxed geometry, computed with SCAN.

abc: 5.2164 5.2164 5.3038
angles: 90.00 90.00 90.00
Last column: nearest neighbours and their distance in Å.
Fractional coordinates of all 5 atoms:
Tl 0.0000 0.0000 0.0000  4 Se 3.69, 8 As 3.72
Sn 0.5000 0.5000 0.5000  4 As 2.61, 2 Se 2.65
As 0.0000 0.5000 0.5000  2 Sn 2.61
As 0.5000 0.0000 0.5000  2 Sn 2.61
Se 0.5000 0.5000 0.0000  2 Sn 2.65

Results
* raw formation energy: 0.516 eV/atom

SrAsSe2 at its PBEsol-relaxed geometry, computed with SCAN.

abc: 7.2785 7.2785 7.2785
angles: 150.35 148.38 43.89
Last column: nearest neighbours and their distance in Å.
Fractional coordinates of all 4 atoms:
Sr 0.0000 0.0000 0.0000  6 Se 3.01-3.15
As 0.2374 0.7374 0.5000  6 Se 2.82-2.93
Se 0.4053 0.4053 0.0000  2 As 2.93, 4 Sr 3.01
Se 0.6814 0.1814 0.5000  4 As 2.82, 2 Sr 3.15

Results
* raw formation energy: -0.781 eV/atom

SrAsSe2 at its PBEsol-relaxed geometry, computed with SCAN.

abc: 8.7189 8.7189 8.7189
angles: 28.72 28.72 28.72
Last column: nearest neighbours and their distance in Å.
Fractional coordinates of all 4 atoms:
Sr 0.0000 0.0000 0.0000  6 Se 3.04
As 0.5000 0.5000 0.5000  2 Se 2.45
Se 0.4024 0.4024 0.4024  1 As 2.45
Se 0.5976 0.5976 0.5976  1 As 2.45

Results
* raw formation energy: -0.589 eV/atom

SrAsSe2 at its PBEsol-relaxed geometry, computed with SCAN.

abc: 6.6945 6.6945 6.6945
angles: 38.04 38.04 38.04
Last column: nearest neighbours and their distance in Å.
Fractional coordinates of all 4 atoms:
Sr 0.0000 0.0000 0.0000  6 Se 3.09
As 0.5000 0.5000 0.5000  6 Se 2.84
Se 0.2370 0.2370 0.2370  3 As 2.84, 3 Sr 3.09
Se 0.7630 0.7630 0.7630  3 As 2.84, 3 Sr 3.09

Results
* raw formation energy: -0.846 eV/atom

SrAs2WSe at its PBEsol-relaxed geometry, computed with SCAN.

abc: 4.7128 4.7128 6.2135
angles: 90.00 90.00 90.00
Last column: nearest neighbours and their distance in Å.
Fractional coordinates of all 5 atoms:
Sr 0.0000 0.0000 0.0000  2 W 3.11, 4 Se 3.33
As 0.0000 0.5000 0.5000  2 W 2.36
As 0.5000 0.0000 0.5000  2 W 2.36
W 0.0000 0.0000 0.5000  4 As 2.36
Se 0.5000 0.5000 0.0000  4 Sr 3.33

Results
* raw formation energy: 0.069 eV/atom

TaAs4Se at its PBEsol-relaxed geometry, computed with SCAN.

abc: 5.3852 5.3852 5.3852
angles: 60.00 60.00 60.00
Last column: nearest neighbours and their distance in Å.
Fractional coordinates of all 6 atoms:
Ta 0.0000 0.0000 0.0000  12 As 3.16, 4 Se 3.30
As 0.3748 0.3748 0.3748  6 As 2.69-2.70
As 0.3748 0.3748 0.8757  6 As 2.69-2.70
As 0.3748 0.8757 0.3748  6 As 2.69-2.70
As 0.8757 0.3748 0.3748  6 As 2.69-2.70
Se 0.7500 0.7500 0.7500  12 As 3.16, 4 Ta 3.30

Results
* raw formation energy: 0.709 eV/atom

TaAsSe2 at its PBEsol-relaxed geometry, computed with SCAN.

abc: 3.3164 3.3164 7.0182
angles: 90.00 90.00 90.00
Last column: nearest neighbours and their distance in Å.
Fractional coordinates of all 4 atoms:
Ta 0.0000 0.0000 0.0000  4 As 2.71, 5 Se 2.73-2.78
As 0.5000 0.5000 0.1944  5 Se 2.71-2.86, 4 Ta 2.71
Se 0.0000 0.0000 0.3884  4 As 2.71, 1 Ta 2.73
Se 0.5000 0.5000 0.7865  4 Ta 2.78, 1 As 2.86

Results
* raw formation energy: -0.217 eV/atom

TaAsSe2 at its PBEsol-relaxed geometry, computed with SCAN.

abc: 4.8078 4.9942 4.9942
angles: 38.80 90.00 90.00
Last column: nearest neighbours and their distance in Å.
Fractional coordinates of all 4 atoms:
Ta 0.0000 0.0000 0.0000  5 Se 2.60-2.71
As 0.5000 0.4073 0.4073  3 Se 2.62-2.68
Se 0.0000 0.7128 0.7128  3 Ta 2.60-2.71
Se 0.5000 0.1227 0.1227  3 As 2.62-2.68, 2 Ta 2.67

Results
* raw formation energy: 0.017 eV/atom

TaAs2Se at its PBEsol-relaxed geometry, computed with SCAN.

abc: 2.8170 2.8170 10.2210
angles: 90.00 90.00 103.08
Last column: nearest neighbours and their distance in Å.
Fractional coordinates of all 4 atoms:
Ta 0.0000 0.0000 0.0000  8 As 2.69-3.01, 4 Ta 2.82
As 0.5000 0.5000 0.1998  4 Ta 2.69-3.01, 4 As 2.82
As 0.5000 0.5000 0.8002  4 Ta 2.69-3.01, 4 As 2.82
Se 0.0000 0.0000 0.5000  4 Se 2.82

Results
* raw formation energy: -0.003 eV/atom